[1]
This record from Alexandria via LeMat-Bulk describes a relaxed Pr7Dy3Y crystal. The functional is PBE.

Output
As for the density of states at the Fermi level: 1.540 states/eV/atom. Its space group is No. 15. The value obtained for the formation enthalpy at 0 K is 183 meV/atom.

Unit cell a=10.400 b=10.400 c=12.760 alpha=114.87 beta=114.87 gamma=40.74
Fractional coordinates of all 22 atoms:
1 Pr 0.080 0.584 0.472
2 Pr 0.080 0.588 0.975
3 Pr 0.209 0.791 0.750
4 Pr 0.337 0.348 0.228
5 Pr 0.348 0.337 0.728
6 Pr 0.412 0.920 0.525
7 Pr 0.416 0.920 0.028
8 Pr 0.584 0.080 0.972
9 Pr 0.588 0.080 0.475
10 Pr 0.652 0.663 0.272
11 Pr 0.663 0.652 0.772
12 Pr 0.791 0.209 0.250
13 Pr 0.920 0.412 0.025
14 Pr 0.920 0.416 0.528
15 Dy 0.168 0.175 0.274
16 Dy 0.175 0.168 0.774
17 Dy 0.500 0.500 0.000
18 Dy 0.500 0.500 0.500
19 Dy 0.825 0.832 0.226
20 Dy 0.832 0.825 0.726
21 Y 0.000 0.000 0.000
22 Y 0.000 0.000 0.500



[2]
This record from Alexandria via LeMat-Bulk describes a relaxed Ba2HfNi crystal. The functional is PBE.

Output
As for the density of states at the Fermi level: 1.581 states/eV/atom. Its space group is No. 225. The value obtained for the formation enthalpy at 0 K is 925 meV/atom.

Unit cell a=5.622 b=5.622 c=5.622 alpha=60.00 beta=60.00 gamma=60.00
Fractional coordinates of all 4 atoms:
1 Ba 0.250 0.250 0.250
2 Ba 0.750 0.750 0.750
3 Hf 0.000 0.000 0.000
4 Ni 0.500 0.500 0.500